{"formula": "Ti2CuAu", "functional": "GGA-PBE", "state": "optimized geometry", "volume_a3_per_atom": 16.8, "e_tot_ev_per_atom": -5.559, "lattice_angstrom": [[3.746, 0.000, 0.000], [0.000, 3.746, 0.000], [0.000, 0.000, 19.206]], "species": ["Ti", "Ti", "Ti", "Ti", "Ti", "Ti", "Ti", "Ti", "Cu", "Cu", "Cu", "Cu", "Au", "Au", "Au", "Au"], "frac_coords": [[0.248, 0.250, 0.125], [0.250, 0.748, 0.375], [0.250, 0.752, 0.875], [0.252, 0.250, 0.625], [0.748, 0.750, 0.625], [0.750, 0.248, 0.875], [0.750, 0.252, 0.375], [0.752, 0.750, 0.125], [0.000, 0.000, 0.000], [0.000, 0.500, 0.250], [0.500, 0.000, 0.750], [0.500, 0.500, 0.500], [0.000, 0.000, 0.500], [0.000, 0.500, 0.750], [0.500, 0.000, 0.250], [0.500, 0.500, 0.000]]}



{"formula": "TiCuAu2", "functional": "GGA-PBE", "state": "optimized geometry", "volume_a3_per_atom": 16.5, "e_tot_ev_per_atom": -4.718, "lattice_angstrom": [[2.940, 0.000, 0.000], [-1.470, 2.546, 0.000], [0.000, 0.000, 26.429]], "species": ["Ti", "Ti", "Ti", "Cu", "Cu", "Cu", "Au", "Au", "Au", "Au", "Au", "Au"], "frac_coords": [[0.000, 0.000, 0.000], [0.333, 0.667, 0.667], [0.667, 0.333, 0.333], [0.000, 0.000, 0.500], [0.333, 0.667, 0.167], [0.667, 0.333, 0.833], [0.000, 0.000, 0.248], [0.000, 0.000, 0.752], [0.333, 0.667, 0.419], [0.333, 0.667, 0.914], [0.667, 0.333, 0.086], [0.667, 0.333, 0.581]]}



{"formula": "TiCu5Au8", "functional": "GGA-PBE", "state": "optimized geometry", "volume_a3_per_atom": 16.8, "e_tot_ev_per_atom": -3.863, "lattice_angstrom": [[-3.856, 3.856, 3.955], [3.856, -3.856, 3.955], [3.856, 3.856, -3.955]], "species": ["Ti", "Cu", "Cu", "Cu", "Cu", "Cu", "Au", "Au", "Au", "Au", "Au", "Au", "Au", "Au"], "frac_coords": [[0.000, 0.000, 0.000], [0.220, 0.075, 0.601], [0.382, 0.780, 0.855], [0.474, 0.618, 0.399], [0.750, 0.250, 0.500], [0.925, 0.526, 0.145], [0.113, 0.356, 0.423], [0.147, 0.388, 0.904], [0.310, 0.887, 0.243], [0.483, 0.243, 0.096], [0.612, 0.517, 0.760], [0.644, 0.067, 0.757], [0.757, 0.853, 0.240], [0.933, 0.690, 0.577]]}



{"formula": "TiCuAu", "functional": "GGA-PBE", "state": "optimized geometry", "relative_energy_mev_per_atom": 53, "volume_a3_per_atom": 15.5, "e_tot_ev_per_atom": -5.319, "lattice_angstrom": [[4.448, 0.000, 0.000], [-2.224, 3.853, 0.000], [0.000, 0.000, 2.709]], "species": ["Ti", "Cu", "Au"], "frac_coords": [[0.000, 0.000, 0.000], [0.333, 0.667, 0.498], [0.667, 0.333, 0.500]]}



{"formula": "TiCu3Au7", "functional": "GGA-PBE", "state": "optimized geometry", "volume_a3_per_atom": 17.8, "e_tot_ev_per_atom": -3.845, "lattice_angstrom": [[4.300, -4.753, 0.000], [4.300, 4.753, 0.000], [-2.151, 0.000, 4.802]], "species": ["Ti", "Cu", "Cu", "Cu", "Au", "Au", "Au", "Au", "Au", "Au", "Au"], "frac_coords": [[0.000, 0.000, 0.000], [0.269, 0.731, 0.500], [0.500, 0.500, 0.000], [0.731, 0.269, 0.500], [0.000, 0.000, 0.500], [0.090, 0.567, 0.818], [0.319, 0.319, 0.430], [0.433, 0.910, 0.182], [0.567, 0.090, 0.818], [0.681, 0.681, 0.570], [0.910, 0.433, 0.182]]}



{"formula": "TiCu5Au6", "functional": "GGA-PBE", "state": "optimized geometry", "relative_energy_mev_per_atom": 0, "volume_a3_per_atom": 15.4, "e_tot_ev_per_atom": -4.109, "lattice_angstrom": [[3.991, -6.390, 0.000], [3.991, 6.390, 0.000], [-2.305, 0.000, 3.632]], "species": ["Ti", "Cu", "Cu", "Cu", "Cu", "Cu", "Au", "Au", "Au", "Au", "Au", "Au"], "frac_coords": [[0.000, 0.000, 0.000], [0.159, 0.841, 0.500], [0.331, 0.669, 0.000], [0.500, 0.500, 0.500], [0.669, 0.331, 0.000], [0.841, 0.159, 0.500], [0.084, 0.421, 0.252], [0.260, 0.260, 0.761], [0.421, 0.084, 0.252], [0.579, 0.916, 0.748], [0.740, 0.740, 0.239], [0.916, 0.579, 0.748]]}



{"formula": "Ti3CuAu", "functional": "GGA-PBE", "state": "optimized geometry", "relative_energy_mev_per_atom": 458, "volume_a3_per_atom": 23.3, "e_tot_ev_per_atom": -5.228, "lattice_angstrom": [[4.881, 0.000, 0.000], [0.000, 4.881, 0.000], [0.000, 0.000, 4.881]], "species": ["Ti", "Ti", "Ti", "Cu", "Au"], "frac_coords": [[0.000, 0.000, 0.500], [0.000, 0.500, 0.000], [0.500, 0.000, 0.000], [0.500, 0.500, 0.500], [0.000, 0.000, 0.000]]}



{"formula": "TiCu6Au12", "functional": "GGA-PBE", "state": "optimized geometry", "volume_a3_per_atom": 17.6, "e_tot_ev_per_atom": -3.702, "lattice_angstrom": [[5.689, 3.284, 2.978], [-5.689, 3.284, 2.978], [0.000, -6.569, 2.978]], "species": ["Ti", "Cu", "Cu", "Cu", "Cu", "Cu", "Cu", "Au", "Au", "Au", "Au", "Au", "Au", "Au", "Au", "Au", "Au", "Au", "Au"], "frac_coords": [[0.000, 0.000, 0.000], [0.180, 0.425, 0.258], [0.258, 0.180, 0.425], [0.425, 0.258, 0.180], [0.575, 0.742, 0.820], [0.742, 0.820, 0.575], [0.820, 0.575, 0.742], [0.036, 0.153, 0.690], [0.153, 0.690, 0.036], [0.183, 0.526, 0.641], [0.310, 0.964, 0.847], [0.359, 0.817, 0.474], [0.474, 0.359, 0.817], [0.526, 0.641, 0.183], [0.641, 0.183, 0.526], [0.690, 0.036, 0.153], [0.817, 0.474, 0.359], [0.847, 0.310, 0.964], [0.964, 0.847, 0.310]]}



{"formula": "TiCu3Au", "functional": "GGA-PBE", "state": "optimized geometry", "relative_energy_mev_per_atom": 0, "volume_a3_per_atom": 20.4, "e_tot_ev_per_atom": -3.702, "lattice_angstrom": [[4.674, 0.000, 0.000], [0.000, 4.674, 0.000], [0.000, 0.000, 4.674]], "species": ["Ti", "Cu", "Cu", "Cu", "Au"], "frac_coords": [[0.000, 0.000, 0.000], [0.000, 0.500, 0.500], [0.500, 0.000, 0.500], [0.500, 0.500, 0.000], [0.500, 0.500, 0.500]]}



{"formula": "Ti2CuAu", "functional": "GGA-PBE", "state": "optimized geometry", "volume_a3_per_atom": 16.1, "e_tot_ev_per_atom": -5.982, "lattice_angstrom": [[3.193, 0.000, 0.000], [0.000, 3.193, 0.000], [0.000, 0.000, 6.310]], "species": ["Ti", "Ti", "Cu", "Au"], "frac_coords": [[0.000, 0.000, 0.229], [0.000, 0.000, 0.771], [0.500, 0.500, 0.000], [0.500, 0.500, 0.500]]}



{"formula": "TiCu2Au5", "functional": "GGA-PBE", "state": "optimized geometry", "volume_a3_per_atom": 16.7, "e_tot_ev_per_atom": -4.120, "lattice_angstrom": [[-3.440, 3.440, 5.655], [3.440, -3.440, 5.655], [3.440, 3.440, -5.655]], "species": ["Ti", "Ti", "Cu", "Cu", "Cu", "Cu", "Au", "Au", "Au", "Au", "Au", "Au", "Au", "Au", "Au", "Au"], "frac_coords": [[0.250, 0.250, 0.000], [0.750, 0.750, 0.000], [0.137, 0.637, 0.774], [0.363, 0.137, 0.500], [0.637, 0.863, 0.500], [0.863, 0.363, 0.226], [0.000, 0.000, 0.000], [0.000, 0.186, 0.500], [0.000, 0.814, 0.500], [0.186, 0.686, 0.186], [0.314, 0.500, 0.500], [0.500, 0.000, 0.186], [0.500, 0.000, 0.814], [0.500, 0.500, 0.000], [0.686, 0.500, 0.500], [0.814, 0.314, 0.814]]}



{"formula": "TiCu5Au6", "functional": "GGA-PBE", "state": "optimized geometry", "relative_energy_mev_per_atom": 4, "volume_a3_per_atom": 15.5, "e_tot_ev_per_atom": -4.105, "lattice_angstrom": [[4.570, 0.000, 0.000], [0.000, 5.949, 0.000], [-2.122, 0.000, 6.824]], "species": ["Ti", "Cu", "Cu", "Cu", "Cu", "Cu", "Au", "Au", "Au", "Au", "Au", "Au"], "frac_coords": [[0.000, 0.000, 0.000], [0.000, 0.500, 0.000], [0.280, 0.000, 0.670], [0.281, 0.500, 0.669], [0.719, 0.500, 0.331], [0.720, 0.000, 0.330], [0.214, 0.253, 0.335], [0.214, 0.747, 0.335], [0.500, 0.254, 0.000], [0.500, 0.746, 0.000], [0.786, 0.253, 0.665], [0.786, 0.747, 0.665]]}